LaInH6Ir2 after structural relaxation, computed with PBE.

a b c (Å): 4.6818 4.6818 16.9470
angles (deg): 90.00 90.00 120.00
Space group R-3m (No. 166, hexagonal axes)
One atom of each set of equivalent atoms:
1 La 0.0000 0.0000 0.0000 (multiplicity 3)
2 In 0.0000 0.0000 0.5000 (multiplicity 3)
3 H 0.0162 0.5081 0.9421 (multiplicity 18)
4 Ir 0.0000 0.0000 0.2148 (multiplicity 6)

Properties
DFT total energy, eV per atom: -4.9230
DOS(E_F), states/eV per atom: 0.044